Record 1
DFT (GGA-PBE) results for a geometry-optimized BaNd2AuO5 structure. Values from VASP.

Energy relative to the elements, uncorrected = -2383 meV per atom
SG = P4/mbm
Fermi-level density of states = 0.22 states/eV per cell

Cell and atoms, written as Quantum ESPRESSO input:
```
&SYSTEM
  ibrav = 0, nat = 18, ntyp = 4
/
ATOMIC_SPECIES
O 16.00 O.upf
Nd 144.24 Nd.upf
Ba 137.33 Ba.upf
Au 196.97 Au.upf
CELL_PARAMETERS angstrom
-1.485 -0.826 -5.992
-6.554 -0.832 1.739
-1.031 6.720 -0.671
ATOMIC_POSITIONS crystal
O 0.500 0.000 0.000
O 0.261 0.855 0.355
O 0.739 0.855 0.355
Nd 0.500 0.827 0.673
Nd 0.500 0.327 0.827
Nd 0.500 0.673 0.173
O 0.261 0.355 0.145
O 0.261 0.145 0.645
O 0.739 0.645 0.855
O 0.739 0.145 0.645
Ba 0.000 0.000 0.000
Au 0.000 0.500 0.000
Nd 0.500 0.173 0.327
Ba 0.000 0.500 0.500
O 0.739 0.355 0.145
O 0.261 0.645 0.855
Au 0.000 0.000 0.500
O 0.500 0.500 0.500
```


Record 2
DFT (GGA-PBE) results for a geometry-optimized Ba2NdAuO4 structure. Values from VASP.

Energy relative to the elements, uncorrected = -2032 meV per atom
SG = I-4

Cell and atoms, written as Quantum ESPRESSO input:
```
&SYSTEM
  ibrav = 0, nat = 8, ntyp = 4
/
ATOMIC_SPECIES
Au 196.97 Au.upf
Ba 137.33 Ba.upf
O 16.00 O.upf
Nd 144.24 Nd.upf
CELL_PARAMETERS angstrom
6.523 -0.609 -0.933
-3.330 5.642 0.933
-3.330 -1.416 5.540
ATOMIC_POSITIONS crystal
Au 0.000 0.500 0.500
Ba 0.500 0.750 0.250
O 0.953 0.589 0.101
O 0.047 0.148 0.635
Nd 0.500 0.250 0.750
Ba 0.000 0.000 0.000
O 0.487 0.899 0.852
O 0.513 0.365 0.411
```


Record 3
DFT (GGA-PBE) results for a geometry-optimized BaNdPtAu structure. Values from VASP.

SG = F-43m
Fermi-level density of states = 4.21 states/eV per cell
Formation energy from the elements = -663 meV per atom

Cell and atoms, written as Quantum ESPRESSO input:
```
&SYSTEM
  ibrav = 0, nat = 4, ntyp = 4
/
ATOMIC_SPECIES
Pt 195.08 Pt.upf
Ba 137.33 Ba.upf
Nd 144.24 Nd.upf
Au 196.97 Au.upf
CELL_PARAMETERS angstrom
5.358 0.000 0.000
2.679 4.640 0.000
2.679 1.547 4.375
ATOMIC_POSITIONS crystal
Pt 0.750 0.750 0.750
Ba 0.000 0.000 0.000
Nd 0.500 0.500 0.500
Au 0.250 0.250 0.250
```


Record 4
DFT (GGA-PBE) results for a geometry-optimized BaNdSb2Au2 structure. Values from VASP.

Energy relative to the elements, uncorrected = -881 meV per atom
SG = P-3m1
Fermi-level density of states = 3.23 states/eV per cell

Cell and atoms, written as Quantum ESPRESSO input:
```
&SYSTEM
  ibrav = 0, nat = 6, ntyp = 4
/
ATOMIC_SPECIES
Ba 137.33 Ba.upf
Au 196.97 Au.upf
Sb 121.76 Sb.upf
Nd 144.24 Nd.upf
CELL_PARAMETERS angstrom
-3.793 -1.123 2.613
4.336 -0.200 1.907
-0.746 8.546 2.590
ATOMIC_POSITIONS crystal
Ba 0.000 0.000 0.000
Au 0.333 0.667 0.305
Sb 0.667 0.333 0.260
Au 0.667 0.333 0.695
Nd 0.000 0.000 0.500
Sb 0.333 0.667 0.740
```


Record 5
DFT (GGA-PBE) results for a geometry-optimized BaNdAuSe3 structure. Values from VASP.

Energy relative to the elements, uncorrected = -1495 meV per atom
SG = P2_1/m

Cell and atoms, written as Quantum ESPRESSO input:
```
&SYSTEM
  ibrav = 0, nat = 12, ntyp = 4
/
ATOMIC_SPECIES
Se 78.96 Se.upf
Nd 144.24 Nd.upf
Ba 137.33 Ba.upf
Au 196.97 Au.upf
CELL_PARAMETERS angstrom
4.311 0.000 0.000
0.000 8.876 -0.068
0.000 -2.412 9.335
ATOMIC_POSITIONS crystal
Se 0.250 0.098 0.867
Se 0.250 0.558 0.844
Nd 0.250 0.679 0.166
Ba 0.750 0.802 0.755
Se 0.250 0.752 0.482
Nd 0.750 0.321 0.834
Se 0.750 0.902 0.133
Se 0.750 0.442 0.156
Au 0.250 0.101 0.590
Au 0.750 0.899 0.410
Ba 0.250 0.198 0.245
Se 0.750 0.248 0.518
```


Record 6
DFT (GGA-PBE) results for a geometry-optimized BaNdSn2Au2 structure. Values from VASP.

SG = P-3m1
Fermi-level density of states = 2.89 states/eV per cell
Formation energy from the elements = -769 meV per atom

Cell and atoms, written as Quantum ESPRESSO input:
```
&SYSTEM
  ibrav = 0, nat = 6, ntyp = 4
/
ATOMIC_SPECIES
Au 196.97 Au.upf
Nd 144.24 Nd.upf
Sn 118.71 Sn.upf
Ba 137.33 Ba.upf
CELL_PARAMETERS angstrom
-2.358 -4.267 0.247
3.079 0.877 -3.685
6.251 -3.196 4.462
ATOMIC_POSITIONS crystal
Au 0.667 0.333 0.689
Nd 0.000 0.000 0.500
Au 0.333 0.667 0.311
Sn 0.333 0.667 0.712
Ba 0.000 0.000 0.000
Sn 0.667 0.333 0.288
```


Record 7
DFT (GGA-PBE) results for a geometry-optimized BaNdTe3Au structure. Values from VASP.

Energy relative to the elements, uncorrected = -1239 meV per atom
SG = P2_1/m
Fermi-level density of states = 0.03 states/eV per cell

Cell and atoms, written as Quantum ESPRESSO input:
```
&SYSTEM
  ibrav = 0, nat = 12, ntyp = 4
/
ATOMIC_SPECIES
Te 127.60 Te.upf
Au 196.97 Au.upf
Nd 144.24 Nd.upf
Ba 137.33 Ba.upf
CELL_PARAMETERS angstrom
4.558 0.000 0.000
0.000 9.342 -0.062
0.000 -2.529 9.946
ATOMIC_POSITIONS crystal
Te 0.250 0.760 0.479
Te 0.750 0.240 0.521
Te 0.750 0.908 0.131
Au 0.250 0.095 0.595
Te 0.250 0.560 0.840
Te 0.750 0.440 0.160
Nd 0.750 0.319 0.835
Ba 0.750 0.803 0.746
Te 0.250 0.092 0.869
Au 0.750 0.905 0.405
Nd 0.250 0.681 0.165
Ba 0.250 0.197 0.254
```


Record 8
DFT (GGA-PBE) results for a geometry-optimized BaNdZn2Au2 structure. Values from VASP.

SG = P-3m1
Fermi-level density of states = 2.60 states/eV per cell
Formation energy from the elements = -608 meV per atom

Cell and atoms, written as Quantum ESPRESSO input:
```
&SYSTEM
  ibrav = 0, nat = 6, ntyp = 4
/
ATOMIC_SPECIES
Au 196.97 Au.upf
Ba 137.33 Ba.upf
Nd 144.24 Nd.upf
Zn 65.41 Zn.upf
CELL_PARAMETERS angstrom
4.680 0.000 0.000
-2.340 4.053 0.000
0.000 0.000 8.115
ATOMIC_POSITIONS crystal
Au 0.667 0.333 0.707
Ba 0.000 0.000 0.000
Au 0.333 0.667 0.293
Nd 0.000 0.000 0.500
Zn 0.333 0.667 0.709
Zn 0.667 0.333 0.291
```


Record 9
DFT (GGA-PBE) results for a geometry-optimized BaNdZn2Au5 structure. Values from VASP.

SG = P4/mmm
Fermi-level density of states = 3.81 states/eV per cell
Formation energy from the elements = -450 meV per atom

Cell and atoms, written as Quantum ESPRESSO input:
```
&SYSTEM
  ibrav = 0, nat = 9, ntyp = 4
/
ATOMIC_SPECIES
Zn 65.41 Zn.upf
Ba 137.33 Ba.upf
Au 196.97 Au.upf
Nd 144.24 Nd.upf
CELL_PARAMETERS angstrom
4.712 0.000 0.000
0.000 4.712 0.000
0.000 0.000 9.324
ATOMIC_POSITIONS crystal
Zn 0.500 0.500 0.132
Ba 0.000 0.000 0.500
Zn 0.500 0.500 0.868
Au 0.500 0.000 0.243
Au 0.000 0.500 0.243
Au 0.000 0.500 0.757
Nd 0.000 0.000 0.000
Au 0.500 0.500 0.500
Au 0.500 0.000 0.757
```


Record 10
DFT (GGA-PBE) results for a geometry-optimized BaNdZnAu structure. Values from VASP.

SG = F-43m
Fermi-level density of states = 3.16 states/eV per cell
Formation energy from the elements = -352 meV per atom

Cell and atoms, written as Quantum ESPRESSO input:
```
&SYSTEM
  ibrav = 0, nat = 4, ntyp = 4
/
ATOMIC_SPECIES
Au 196.97 Au.upf
Nd 144.24 Nd.upf
Ba 137.33 Ba.upf
Zn 65.41 Zn.upf
CELL_PARAMETERS angstrom
5.476 0.000 0.000
2.738 4.742 0.000
2.738 1.581 4.471
ATOMIC_POSITIONS crystal
Au 0.500 0.500 0.500
Nd 0.750 0.750 0.750
Ba 0.250 0.250 0.250
Zn 0.000 0.000 0.000
```


Record 11
DFT (GGA-PBE) results for a geometry-optimized BaNiAu structure. Values from VASP.

SG = F-43m
Fermi-level density of states = 5.36 states/eV per cell
Formation energy from the elements = 494 meV per atom

Cell and atoms, written as Quantum ESPRESSO input:
```
&SYSTEM
  ibrav = 0, nat = 3, ntyp = 3
/
ATOMIC_SPECIES
Ni 58.69 Ni.upf
Ba 137.33 Ba.upf
Au 196.97 Au.upf
CELL_PARAMETERS angstrom
5.286 0.000 0.000
2.643 4.578 0.000
2.643 1.526 4.316
ATOMIC_POSITIONS crystal
Ni 0.000 0.000 0.000
Ba 0.750 0.750 0.750
Au 0.500 0.500 0.500
```


Record 12
DFT (GGA-PBE) results for a geometry-optimized BaNiAu2 structure. Values from VASP.

SG = Immm
Fermi-level density of states = 2.25 states/eV per cell
Formation energy from the elements = -124 meV per atom

Cell and atoms, written as Quantum ESPRESSO input:
```
&SYSTEM
  ibrav = 0, nat = 4, ntyp = 3
/
ATOMIC_SPECIES
Ni 58.69 Ni.upf
Au 196.97 Au.upf
Ba 137.33 Ba.upf
CELL_PARAMETERS angstrom
-2.103 2.975 4.100
2.103 -2.975 4.100
2.103 2.975 -4.100
ATOMIC_POSITIONS crystal
Ni 0.500 0.000 0.500
Au 0.678 0.678 0.000
Ba 0.000 0.500 0.500
Au 0.322 0.322 0.000
```


no.,mass density (g/cm³)
1,8.0
2,6.2
3,10.3
4,8.7
5,6.7
6,8.8
7,6.8
8,8.7
9,11.2
10,7.8
11,6.2
12,9.5